An optimized crystal structure of NaAgPdSe2. Source: Alexandria, functional PBE-GGA.

Calculated values
- E_tot: -37.32 eV/cell
- Spin magnetization: 0.0 μB/f.u.
- Formation energy from raw total energies: -0.47 eV per atom

a = 6.7327 Å, b = 4.5433 Å, c = 7.5345 Å
α = 90.00°, β = 102.07°, γ = 90.00°
With the nearest neighbours (Å) after each atom.
Space group P2/c (No. 13)
Symmetry-distinct sites (fractional):
Na1 0.0000 0.0019 0.2500 [2 per cell]  4 Se 3.02
Ag1 0.5000 0.0000 0.0000 [2 per cell]  4 Se 2.83-2.84, 4 Pd 2.95
Pd1 0.5000 0.5000 0.2500 [2 per cell]  4 Se 2.53-2.54
Se1 0.2429 0.4988 0.9528 [4 per cell]  2 Pd 2.53-2.54, 1 Ag 2.83